An optimized crystal structure of FeTcHg2, computed with GGA-PBE.

Output
excess energy over the best structure of this formula in the dataset: 1.18 eV per formula unit
volume: 69.06 Å³ per cell
SG: P2/m

Unit cell a=2.8503 b=4.1717 c=5.8080 alpha=90.00 beta=90.54 gamma=90.00
Fractional positions:
Fe  0.0000  0.0000  0.0000
Tc  0.0000  0.0000  0.5000
Hg  0.4973  0.5000  0.2467
Hg  0.5027  0.5000  0.7533